Record 1
PmThAsN | PBE | relaxed

Cell lengths 4.380, 4.380, 9.543 Å; angles 90.00, 90.00, 90.00 degrees
Space group P4/nmm (No. 129, origin choice 2)
Asymmetric unit:
Pm: 0.250 0.750 0.000
Th: 0.250 0.250 0.393
As: 0.250 0.250 0.792
N: 0.250 0.750 0.500

## Properties
E	-7.47	eV per atom
crystal system	tetragonal
Fermi-level density of states	0.5606	states/eV per atom
spin magnetization	0.0	μB per formula unit
E_form (uncorrected)	-1.183	eV per atom

=====

Record 2
CsNaY3 | PBE | relaxed

Cell lengths 5.873, 5.873, 5.873 Å; angles 90.00, 90.00, 90.00 degrees
Space group Pm-3m (No. 221)
Asymmetric unit:
Cs: 0.000 0.000 0.000
Na: 0.500 0.500 0.500
Y: 0.000 0.000 0.500

## Properties
E	-3.12	eV per atom
crystal system	cubic
Fermi-level density of states	1.1562	states/eV per atom
spin magnetization	0.0	μB per formula unit
energy relative to the elements	1192	meV per atom

=====

Record 3
ZrPb2Au | PBE | relaxed

Cell lengths 4.695, 5.764, 7.198 Å; angles 90.00, 90.00, 90.00 degrees
Space group Cmmm (No. 65)
Asymmetric unit:
Zr: 0.000 0.000 0.000
Pb: 0.000 0.500 0.261
Au: 0.000 0.000 0.500

## Properties
E	-4.77	eV per atom
crystal system	orthorhombic
Fermi-level density of states	0.4614	states/eV per atom
spin magnetization	0.0	μB per formula unit
energy relative to the elements	37	meV per atom